(1)
DFT (PBE-GGA) results for crystalline SrRhO4 at its relaxed geometry.

Values from the calculation:
Space group = P4/mmm
Volume = 12.280 Å³/atom
Uncorrected energy = -5.7577 eV/atom
ΔE_f (raw) = -947 meV per atom

Structure (POSCAR):
```
SrRhO4
1.0
-0.6600 -1.3650 -3.2082
1.4520 -3.0762 1.0102
-5.2270 -1.8549 1.8646
Sr Rh O
1 1 4
direct
0.0000 0.0000 0.0000
0.5000 0.5000 0.5000
0.5000 0.0000 0.6980
0.0000 0.5000 0.6980
0.5000 0.0000 0.3020
0.0000 0.5000 0.3020
```



(2)
DFT (PBE-GGA) results for crystalline Sr2RhO4 at its relaxed geometry.

Values from the calculation:
Space group = I4_1/acd
Volume = 14.197 Å³/atom
Uncorrected energy = -6.3320 eV/atom
ΔE_f (raw) = -1968 meV per atom
Distance to the lowest polymorph of the same formula = 0 meV per atom

Structure (POSCAR):
```
Sr2RhO4
1.0
-11.8560 6.8360 -0.0361
-11.1424 3.6791 7.0433
13.3391 -2.0600 -2.2631
Sr Rh O
8 4 16
direct
0.8247 0.8247 0.0000
0.6753 0.6753 0.0000
0.4253 0.9253 0.5000
0.5747 0.0747 0.5000
0.1753 0.1753 0.0000
0.3247 0.3247 0.0000
0.9253 0.4253 0.5000
0.0747 0.5747 0.5000
0.0000 0.0000 0.0000
0.2500 0.7500 0.5000
0.7500 0.2500 0.5000
0.5000 0.5000 0.0000
0.4430 0.4430 0.3861
0.9430 0.5570 0.0000
0.9200 0.9200 0.0000
0.0800 0.0800 0.0000
0.1700 0.6700 0.5000
0.3300 0.8300 0.5000
0.5570 0.9430 0.0000
0.6930 0.1930 0.8861
0.1930 0.3070 0.5000
0.0570 0.0570 0.6139
0.8300 0.3300 0.5000
0.4200 0.4200 0.0000
0.5800 0.5800 0.0000
0.6700 0.1700 0.5000
0.8070 0.6930 0.5000
0.3070 0.8070 0.1139
```